A relaxed structure of Nd7S6Cl9. Source: OQMD, functional GGA-PBE.

Calculated values
Magnetization ... 0.00 μB/cell
Space-group type ... P2/c, No. 13
Calculated total energy ... -5.57 eV/atom
ρ ... 4.4 g/cm3

a b c (Å): 24.490 6.716 6.978
angles (deg): 90.00 97.73 90.00
Fractional coordinates of all 44 atoms:
Nd 0.643 0.303 0.377
Nd 0.921 0.718 0.006
Nd 0.357 0.303 0.123
Nd 0.079 0.718 0.494
Nd 0.357 0.697 0.623
Nd 0.921 0.282 0.506
Nd 0.500 0.712 0.250
Nd 0.784 0.305 0.863
Nd 0.079 0.282 0.994
Nd 0.643 0.697 0.877
Nd 0.500 0.288 0.750
Nd 0.216 0.305 0.637
Nd 0.216 0.695 0.137
Nd 0.784 0.695 0.363
Cl 0.057 0.891 0.119
Cl 0.000 0.448 0.250
Cl 0.689 0.934 0.231
Cl 0.311 0.934 0.269
Cl 0.560 0.958 0.939
Cl 0.560 0.042 0.439
Cl 0.311 0.066 0.769
Cl 0.943 0.109 0.881
Cl 0.820 0.917 0.032
Cl 0.180 0.083 0.968
Cl 0.000 0.552 0.750
Cl 0.440 0.042 0.061
Cl 0.440 0.958 0.561
Cl 0.689 0.066 0.731
Cl 0.820 0.083 0.532
Cl 0.057 0.109 0.619
Cl 0.943 0.891 0.381
Cl 0.180 0.917 0.468
S 0.429 0.465 0.425
S 0.571 0.465 0.075
S 0.429 0.535 0.925
S 0.571 0.535 0.575
S 0.860 0.448 0.187
S 0.716 0.447 0.118
S 0.140 0.448 0.313
S 0.284 0.447 0.382
S 0.860 0.552 0.687
S 0.284 0.553 0.882
S 0.716 0.553 0.618
S 0.140 0.552 0.813

A relaxed structure of Nd3SiS6Cl. Source: OQMD, functional GGA-PBE.

Calculated values
Magnetization ... 0.00 μB/cell
Space-group type ... Pnma, No. 62
Calculated total energy ... -5.96 eV/atom
ρ ... 4.3 g/cm3

a b c (Å): 12.566 10.448 16.345
angles (deg): 90.00 90.00 90.00
Fractional coordinates of all 88 atoms:
S 0.343 0.491 0.070
S 0.231 0.750 0.801
S 0.522 0.750 0.292
S 0.478 0.250 0.708
S 0.239 0.410 0.747
S 0.562 0.250 0.046
S 0.978 0.250 0.792
S 0.843 0.491 0.430
S 0.472 0.918 0.770
S 0.687 0.750 0.473
S 0.022 0.750 0.208
S 0.356 0.750 0.612
S 0.119 0.750 0.403
S 0.261 0.590 0.247
S 0.657 0.991 0.930
S 0.239 0.090 0.747
S 0.644 0.250 0.388
S 0.381 0.250 0.903
S 0.657 0.509 0.930
S 0.438 0.750 0.954
S 0.528 0.418 0.230
S 0.157 0.991 0.570
S 0.187 0.750 0.027
S 0.856 0.750 0.888
S 0.761 0.590 0.253
S 0.761 0.910 0.253
S 0.343 0.009 0.070
S 0.062 0.250 0.454
S 0.843 0.009 0.430
S 0.528 0.082 0.230
S 0.938 0.750 0.546
S 0.972 0.918 0.730
S 0.881 0.250 0.597
S 0.813 0.250 0.973
S 0.769 0.250 0.199
S 0.472 0.582 0.770
S 0.731 0.750 0.699
S 0.028 0.418 0.270
S 0.144 0.250 0.112
S 0.261 0.910 0.247
S 0.739 0.410 0.753
S 0.313 0.250 0.527
S 0.157 0.509 0.570
S 0.739 0.090 0.753
S 0.619 0.750 0.097
S 0.028 0.082 0.270
S 0.269 0.250 0.301
S 0.972 0.582 0.730
Cl 0.897 0.545 0.060
Cl 0.103 0.455 0.940
Cl 0.397 0.955 0.440
Cl 0.603 0.455 0.560
Cl 0.103 0.045 0.940
Cl 0.897 0.955 0.060
Cl 0.603 0.045 0.560
Cl 0.397 0.545 0.440
Nd 0.813 0.543 0.595
Nd 0.382 0.036 0.612
Nd 0.886 0.750 0.375
Nd 0.687 0.457 0.095
Nd 0.614 0.250 0.875
Nd 0.882 0.036 0.888
Nd 0.118 0.964 0.112
Nd 0.687 0.043 0.095
Nd 0.187 0.043 0.405
Nd 0.313 0.543 0.905
Nd 0.813 0.957 0.595
Nd 0.618 0.964 0.388
Nd 0.386 0.750 0.125
Nd 0.114 0.250 0.625
Nd 0.124 0.750 0.639
Nd 0.618 0.536 0.388
Nd 0.876 0.250 0.361
Nd 0.187 0.457 0.405
Nd 0.624 0.750 0.861
Nd 0.313 0.957 0.905
Nd 0.882 0.464 0.888
Nd 0.382 0.464 0.612
Nd 0.118 0.536 0.112
Nd 0.376 0.250 0.139
Si 0.165 0.750 0.278
Si 0.384 0.750 0.740
Si 0.884 0.750 0.760
Si 0.616 0.250 0.260
Si 0.835 0.250 0.722
Si 0.116 0.250 0.240
Si 0.335 0.250 0.778
Si 0.665 0.750 0.222

A relaxed structure of TbNdSbCl2. Source: OQMD, functional GGA-PBE.

Calculated values
Magnetization ... 0.01 μB/cell
Space-group type ... P3m1, No. 156
Calculated total energy ... -5.11 eV/atom
ρ ... 5.0 g/cm3

a b c (Å): 4.243 4.243 10.662
angles (deg): 90.00 90.00 120.00
Fractional coordinates of all 5 atoms:
Cl 0.333 0.667 0.690
Cl 0.000 0.000 0.318
Tb 0.000 0.000 0.830
Sb 0.667 0.333 0.993
Nd 0.333 0.667 0.169

A relaxed structure of NdTmSbCl2. Source: OQMD, functional GGA-PBE.

Calculated values
Magnetization ... 0.00 μB/cell
Space-group type ... P3m1, No. 156
Calculated total energy ... -5.03 eV/atom
ρ ... 5.2 g/cm3

a b c (Å): 4.198 4.198 10.646
angles (deg): 90.00 90.00 120.00
Fractional coordinates of all 5 atoms:
Sb 0.667 0.333 0.011
Cl 0.333 0.667 0.678
Cl 0.000 0.000 0.309
Nd 0.000 0.000 0.831
Tm 0.333 0.667 0.170

A relaxed structure of NdSeCl. Source: OQMD, functional GGA-PBE.

Calculated values
Magnetization ... 0.01 μB/cell
Space-group type ... Pnma, No. 62
Calculated total energy ... -5.44 eV/atom
ρ ... 4.9 g/cm3

a b c (Å): 4.469 5.687 13.905
angles (deg): 90.00 90.00 90.00
Fractional coordinates of all 12 atoms:
Nd 0.250 0.211 0.850
Nd 0.750 0.289 0.150
Nd 0.750 0.711 0.650
Nd 0.250 0.789 0.350
Se 0.750 0.210 0.712
Se 0.250 0.710 0.788
Se 0.250 0.290 0.288
Se 0.750 0.790 0.212
Cl 0.250 0.540 0.532
Cl 0.750 0.040 0.968
Cl 0.250 0.460 0.032
Cl 0.750 0.960 0.468

A relaxed structure of NdSeCl6. Source: OQMD, functional GGA-PBE.

Calculated values
Magnetization ... 1.00 μB/cell
Space-group type ... R-3, No. 148
Calculated total energy ... -3.45 eV/atom
ρ ... 2.9 g/cm3

a b c (Å): 6.733 6.733 6.733
angles (deg): 108.16 108.16 108.16
Site moments in Bohr magnetons follow the coordinates.
Fractional coordinates of all 8 atoms:
Se 0.000 0.000 0.000  0.42
Cl 0.756 0.592 0.955  0.04
Cl 0.955 0.756 0.592  0.06
Cl 0.244 0.408 0.045  0.04
Cl 0.408 0.045 0.244  0.04
Cl 0.045 0.244 0.408  0.06
Cl 0.592 0.955 0.756  0.04
Nd 0.500 0.500 0.500  0.02

A relaxed structure of Nd2Se2Cl. Source: OQMD, functional GGA-PBE.

Calculated values
Magnetization ... 0.00 μB/cell
Space-group type ... I4_1/amd, No. 141
Calculated total energy ... -5.07 eV/atom
ρ ... 6.5 g/cm3

a b c (Å): 8.460 8.460 8.460
angles (deg): 140.12 140.12 57.66
Fractional coordinates of all 10 atoms:
Nd 0.953 0.453 0.500
Nd 0.203 0.203 0.000
Nd 0.797 0.797 0.000
Nd 0.547 0.047 0.500
Se 0.875 0.625 0.250
Se 0.375 0.625 0.750
Se 0.375 0.125 0.750
Se 0.375 0.625 0.250
Cl 0.000 0.000 0.000
Cl 0.750 0.250 0.500

A relaxed structure of Nd4SiCl5. Source: OQMD, functional GGA-PBE.

Calculated values
Magnetization ... 0.01 μB/cell
Space-group type ... C2/m, No. 12
Calculated total energy ... -5.12 eV/atom
ρ ... 4.3 g/cm3

a b c (Å): 9.340 9.340 8.396
angles (deg): 104.32 104.32 25.33
Fractional coordinates of all 10 atoms:
Cl 0.171 0.171 0.859
Cl 0.500 0.500 0.500
Cl 0.166 0.166 0.331
Cl 0.829 0.829 0.141
Cl 0.834 0.834 0.669
Nd 0.344 0.344 0.906
Nd 0.000 0.000 0.233
Nd 0.000 0.000 0.767
Nd 0.656 0.656 0.094
Si 0.500 0.500 0.000

A relaxed structure of Nd4SiCl5. Source: OQMD, functional GGA-PBE.

Calculated values
Magnetization ... 0.01 μB/cell
Space-group type ... C2/m, No. 12
Calculated total energy ... -5.12 eV/atom
ρ ... 4.3 g/cm3

a b c (Å): 9.296 9.296 8.355
angles (deg): 103.53 103.53 25.50
Fractional coordinates of all 10 atoms:
Cl 0.834 0.834 0.672
Cl 0.500 0.500 0.500
Cl 0.166 0.166 0.328
Cl 0.829 0.829 0.149
Cl 0.171 0.171 0.851
Nd 0.656 0.656 0.090
Nd 0.000 0.000 0.766
Nd 0.344 0.344 0.910
Nd 0.000 0.000 0.234
Si 0.500 0.500 0.000

A relaxed structure of NdSmSiCl2. Source: OQMD, functional GGA-PBE.

Calculated values
Magnetization ... 0.01 μB/cell
Space-group type ... P3m1, No. 156
Calculated total energy ... -5.28 eV/atom
ρ ... 4.4 g/cm3

a b c (Å): 4.193 4.193 9.809
angles (deg): 90.00 90.00 120.00
Fractional coordinates of all 5 atoms:
Cl 0.333 0.667 0.168
Cl 0.667 0.333 0.829
Si 0.000 0.000 0.502
Sm 0.333 0.667 0.671
Nd 0.667 0.333 0.330

A relaxed structure of NdSmCl3. Source: OQMD, functional GGA-PBE.

Calculated values
Magnetization ... 0.01 μB/cell
Space-group type ... C2/m, No. 12
Calculated total energy ... -4.85 eV/atom
ρ ... 4.6 g/cm3

a b c (Å): 8.098 8.098 10.469
angles (deg): 117.30 117.30 28.72
Fractional coordinates of all 10 atoms:
Sm 0.140 0.140 0.795
Sm 0.860 0.860 0.205
Cl 0.770 0.770 0.378
Cl 0.956 0.956 0.768
Cl 0.230 0.230 0.622
Cl 0.044 0.044 0.232
Cl 0.659 0.659 0.006
Cl 0.341 0.341 0.994
Nd 0.409 0.409 0.552
Nd 0.591 0.591 0.448

A relaxed structure of NdSmSnCl2. Source: OQMD, functional GGA-PBE.

Calculated values
Magnetization ... 0.00 μB/cell
Space-group type ... P3m1, No. 156
Calculated total energy ... -4.95 eV/atom
ρ ... 5.2 g/cm3

a b c (Å): 4.326 4.326 9.578
angles (deg): 90.00 90.00 120.00
Fractional coordinates of all 5 atoms:
Cl 0.667 0.333 0.150
Cl 0.000 0.000 0.847
Nd 0.000 0.000 0.308
Sm 0.667 0.333 0.693
Sn 0.333 0.667 0.503